An optimized crystal structure of NaSiAu, computed with GGA-PBE.

Unit cell a=4.3362 b=4.3362 c=3.6865 alpha=90.00 beta=90.00 gamma=120.00
Fractional positions:
Na (0.0000, 0.0000, 0.0000)
Si (0.3333, 0.6667, 0.5000)
Au (0.6667, 0.3333, 0.5000)

As for the uncorrected formation energy: -0.1271 eV/atom. As for the calculated volume: 20.0 Å³/atom. The symmetry is P-6m2, No. 187.